Entry 1:
# NbFeB3

A relaxed structure of NbFeB3 (PBEsol, the Alexandria database).

Properties
Crystal system: cubic
Volume: 10.0 A^3/atom
ΔE_f: 460 meV per atom

Cell and atoms, written as CIF:
```
data_NbFeB3
_chemical_formula_sum 'Nb1 Fe1 B3'
_cell_length_a 3.6789
_cell_length_b 3.6789
_cell_length_c 3.6789
_cell_angle_alpha 90.00
_cell_angle_beta 90.00
_cell_angle_gamma 90.00
_space_group_name_H-M_alt 'P m -3 m'
_space_group_IT_number 221
_space_group_name_Hall '-P 4 2 3'
loop_
_atom_site_label
_atom_site_fract_x
_atom_site_fract_y
_atom_site_fract_z
Nb1 0.0000 0.0000 0.0000
Fe1 0.5000 0.5000 0.5000
B1 0.0000 0.5000 0.5000
```



Entry 2:
# HgAsSe2

A relaxed structure of HgAsSe2 (PBEsol, the Alexandria database).

Properties
Crystal system: tetragonal
Volume: 20.6 A^3/atom
ΔE to the lowest computed polymorph: 142 meV per atom
Uncorrected formation energy: 0.251 eV per atom

Cell and atoms, written as CIF:
```
data_HgAsSe2
_chemical_formula_sum 'Hg1 As1 Se2'
_cell_length_a 3.4021
_cell_length_b 3.4021
_cell_length_c 7.1036
_cell_angle_alpha 90.00
_cell_angle_beta 90.00
_cell_angle_gamma 90.00
_space_group_name_H-M_alt 'P 4/m m m'
_space_group_IT_number 123
_space_group_name_Hall '-P 4 2'
loop_
_atom_site_label
_atom_site_fract_x
_atom_site_fract_y
_atom_site_fract_z
Hg1 0.0000 0.0000 0.0000
As1 0.0000 0.0000 0.5000
Se1 0.5000 0.5000 0.2778
```



Entry 3:
# ZnIO2

A relaxed structure of ZnIO2 (PBEsol, the Alexandria database).

Properties
Crystal system: cubic
Volume: 12.9 A^3/atom
Uncorrected formation energy: 0.418 eV per atom

Cell and atoms, written as CIF:
```
data_ZnIO2
_chemical_formula_sum 'Zn4 I4 O8'
_cell_length_a 5.9107
_cell_length_b 5.9107
_cell_length_c 5.9107
_cell_angle_alpha 90.00
_cell_angle_beta 90.00
_cell_angle_gamma 90.00
_space_group_name_H-M_alt 'F m -3 m'
_space_group_IT_number 225
_space_group_name_Hall '-F 4 2 3'
loop_
_atom_site_label
_atom_site_fract_x
_atom_site_fract_y
_atom_site_fract_z
Zn1 0.0000 0.0000 0.0000
I1 0.0000 0.0000 0.5000
O1 0.2500 0.2500 0.2500
```



Entry 4:
# Tl2SnSb

A relaxed structure of Tl2SnSb (PBEsol, the Alexandria database).

Properties
Crystal system: cubic
Volume: 27.4 A^3/atom
Uncorrected formation energy: 0.102 eV per atom

Cell and atoms, written as CIF:
```
data_Tl2SnSb
_chemical_formula_sum 'Tl8 Sn4 Sb4'
_cell_length_a 7.5945
_cell_length_b 7.5945
_cell_length_c 7.5945
_cell_angle_alpha 90.00
_cell_angle_beta 90.00
_cell_angle_gamma 90.00
_space_group_name_H-M_alt 'F m -3 m'
_space_group_IT_number 225
_space_group_name_Hall '-F 4 2 3'
loop_
_atom_site_label
_atom_site_fract_x
_atom_site_fract_y
_atom_site_fract_z
Tl1 0.2500 0.2500 0.2500
Sn1 0.0000 0.0000 0.0000
Sb1 0.0000 0.0000 0.5000
```



Entry 5:
# AlH10N2OF5

A relaxed structure of AlH10N2OF5 (PBEsol, the Alexandria database).

Properties
Crystal system: orthorhombic
Volume: 8.3 A^3/atom
Final energy: -5.202 eV per atom

Cell and atoms, written as CIF:
```
data_AlH10N2OF5
_chemical_formula_sum 'Al4 H40 N8 O4 F20'
_cell_length_a 10.4710
_cell_length_b 8.0352
_cell_length_c 7.4676
_cell_angle_alpha 90.00
_cell_angle_beta 90.00
_cell_angle_gamma 90.00
_space_group_name_H-M_alt 'P b c n'
_space_group_IT_number 60
loop_
_space_group_symop_operation_xyz
'x,y,z'
'-x,-y,-z'
'-x+1/2,-y+1/2,z+1/2'
'x+1/2,y+1/2,-z+1/2'
'x+1/2,-y+1/2,-z'
'-x+1/2,y+1/2,z'
'-x,y,-z+1/2'
'x,-y,z+1/2'
loop_
_atom_site_label
_atom_site_fract_x
_atom_site_fract_y
_atom_site_fract_z
Al1 0.0000 0.1940 0.2500
H1 0.0221 0.1097 0.6407
H2 0.1170 0.4892 0.3873
H3 0.1776 0.3668 0.0363
H4 0.2413 0.0884 0.3483
H5 0.2491 0.4449 0.5155
N1 0.1999 0.4625 0.9467
O1 0.0000 0.0402 0.7500
F1 0.0000 0.4206 0.2500
F2 0.0588 0.1997 0.4765
F3 0.1658 0.1918 0.1666
```



Entry 6:
# Ti3NbAg

A relaxed structure of Ti3NbAg (PBEsol, the Alexandria database).

Properties
Crystal system: cubic
Volume: 20.6 A^3/atom
ΔE_f: 1057 meV per atom

Cell and atoms, written as CIF:
```
data_Ti3NbAg
_chemical_formula_sum 'Ti3 Nb1 Ag1'
_cell_length_a 4.6858
_cell_length_b 4.6858
_cell_length_c 4.6858
_cell_angle_alpha 90.00
_cell_angle_beta 90.00
_cell_angle_gamma 90.00
_space_group_name_H-M_alt 'P m -3 m'
_space_group_IT_number 221
_space_group_name_Hall '-P 4 2 3'
loop_
_atom_site_label
_atom_site_fract_x
_atom_site_fract_y
_atom_site_fract_z
Ti1 0.0000 0.0000 0.5000
Nb1 0.0000 0.0000 0.0000
Ag1 0.5000 0.5000 0.5000
```



Entry 7:
# K4Cd

A relaxed structure of K4Cd (PBEsol, the Alexandria database).

Properties
Crystal system: cubic
Volume: 59.2 A^3/atom
ΔE_f: 85 meV per atom

Cell and atoms, written as CIF:
```
data_K4Cd
_chemical_formula_sum 'K8 Cd2'
_cell_length_a 8.3955
_cell_length_b 8.3955
_cell_length_c 8.3955
_cell_angle_alpha 90.00
_cell_angle_beta 90.00
_cell_angle_gamma 90.00
_space_group_name_H-M_alt 'I m -3 m'
_space_group_IT_number 229
_space_group_name_Hall '-I 4 2 3'
loop_
_atom_site_label
_atom_site_fract_x
_atom_site_fract_y
_atom_site_fract_z
K1 0.2500 0.2500 0.2500
Cd1 0.0000 0.0000 0.0000
```



Entry 8:
# KSmTe2

A relaxed structure of KSmTe2 (PBEsol, the Alexandria database).

Properties
Crystal system: trigonal
Volume: 35.4 A^3/atom
Uncorrected formation energy: -1.381 eV per atom

Cell and atoms, written as CIF:
```
data_KSmTe2
_chemical_formula_sum 'K3 Sm3 Te6'
_cell_length_a 4.4899
_cell_length_b 4.4899
_cell_length_c 24.3483
_cell_angle_alpha 90.00
_cell_angle_beta 90.00
_cell_angle_gamma 120.00
_space_group_name_H-M_alt 'R -3 m'
_space_group_IT_number 166
_space_group_name_Hall '-R 3 2"'
loop_
_atom_site_label
_atom_site_fract_x
_atom_site_fract_y
_atom_site_fract_z
K1 0.0000 0.0000 0.0000
Sm1 0.0000 0.0000 0.5000
Te1 0.0000 0.0000 0.2381
```



> The lowest volume belongs to which entry?

AlH10N2OF5